First-principles (PBE) data for NbOsPt2 after structural relaxation, as listed in Alexandria.

E_form: 0.084 eV/atom
DOS(E_F): 1.536 states/eV/atom
E above lowest polymorph: 10.2 meV/atom

abc: 6.3710 6.3710 6.3710
angles: 90.00 90.00 90.00
Space group Fm-3m (No. 225)
Symmetry-distinct sites (fractional):
Nb 0.0000 0.0000 0.0000 [4 per cell]
Os 0.0000 0.0000 0.5000 [4 per cell]
Pt 0.2500 0.2500 0.2500 [8 per cell]